[1]
Density functional theory data (GGA+U) for Co2AsF after structural relaxation. Values from VASP.

Geometry as Quantum ESPRESSO input:
```
&SYSTEM
  ibrav = 0, nat = 4, ntyp = 3
/
ATOMIC_SPECIES
Co 58.93 Co.upf
As 74.92 As.upf
F 19.00 F.upf
CELL_PARAMETERS angstrom
0.000 2.857 2.857
2.857 0.000 2.857
2.857 2.857 0.000
ATOMIC_POSITIONS crystal
Co 0.250 0.250 0.250
Co 0.750 0.750 0.750
As 0.000 0.000 0.000
F 0.500 0.500 0.500
```

Output
* total energy: -15.72 eV/cell
* magnetization: 2.6 μB per formula unit
* volume: 11.7 Å³/atom
* energy relative to the lowest polymorph listed for this composition: 484 meV per atom

***

[2]
Density functional theory data (GGA+U) for CoAs4F18 after structural relaxation. Values from VASP.

Geometry as Quantum ESPRESSO input:
```
&SYSTEM
  ibrav = 0, nat = 46, ntyp = 3
/
ATOMIC_SPECIES
Co 58.93 Co.upf
As 74.92 As.upf
F 19.00 F.upf
CELL_PARAMETERS angstrom
7.412 0.000 0.000
0.000 13.053 0.000
-7.128 0.000 7.414
ATOMIC_POSITIONS crystal
Co 0.000 0.000 0.000
Co 0.000 0.500 0.500
As 0.085 0.218 0.572
As 0.085 0.282 0.072
As 0.500 0.000 0.000
As 0.500 0.000 0.500
As 0.500 0.500 0.000
As 0.500 0.500 0.500
As 0.915 0.718 0.928
As 0.915 0.782 0.428
F 0.016 0.155 0.964
F 0.016 0.345 0.464
F 0.017 0.743 0.325
F 0.017 0.757 0.825
F 0.208 0.028 0.267
F 0.208 0.472 0.767
F 0.230 0.051 0.790
F 0.230 0.449 0.290
F 0.317 0.534 0.553
F 0.317 0.966 0.053
F 0.327 0.553 0.042
F 0.327 0.947 0.542
F 0.399 0.249 0.755
F 0.399 0.251 0.255
F 0.434 0.619 0.400
F 0.434 0.881 0.900
F 0.480 0.120 0.565
F 0.480 0.380 0.065
F 0.520 0.620 0.935
F 0.520 0.880 0.435
F 0.566 0.119 0.100
F 0.566 0.381 0.600
F 0.601 0.749 0.745
F 0.601 0.751 0.245
F 0.673 0.053 0.458
F 0.673 0.447 0.958
F 0.683 0.034 0.947
F 0.683 0.466 0.447
F 0.770 0.551 0.710
F 0.770 0.949 0.210
F 0.792 0.528 0.233
F 0.792 0.972 0.733
F 0.983 0.243 0.175
F 0.983 0.257 0.675
F 0.984 0.655 0.536
F 0.984 0.845 0.036
```

Output
* total energy: -212.03 eV/cell
* magnetization: 3.0 μB per formula unit
* volume: 15.6 Å³/atom

***

[3]
Density functional theory data (GGA+U) for CoAsIrF2 after structural relaxation. Values from VASP.

Geometry as Quantum ESPRESSO input:
```
&SYSTEM
  ibrav = 0, nat = 5, ntyp = 4
/
ATOMIC_SPECIES
Co 58.93 Co.upf
As 74.92 As.upf
Ir 192.22 Ir.upf
F 19.00 F.upf
CELL_PARAMETERS angstrom
3.882 0.000 0.000
0.000 3.882 0.000
0.000 0.000 5.382
ATOMIC_POSITIONS crystal
Co 0.000 0.000 0.000
As 0.000 0.000 0.500
Ir 0.500 0.500 0.000
F 0.000 0.500 0.500
F 0.500 0.000 0.500
```

Output
* total energy: -21.72 eV/cell
* magnetization: 3.6 μB per formula unit
* volume: 16.2 Å³/atom

***

[4]
Density functional theory data (GGA+U) for K2CoAsF after structural relaxation. Values from VASP.

Geometry as Quantum ESPRESSO input:
```
&SYSTEM
  ibrav = 0, nat = 5, ntyp = 4
/
ATOMIC_SPECIES
K 39.10 K.upf
Co 58.93 Co.upf
As 74.92 As.upf
F 19.00 F.upf
CELL_PARAMETERS angstrom
6.122 0.000 0.000
0.000 6.122 0.000
0.000 0.000 4.280
ATOMIC_POSITIONS crystal
K 0.000 0.500 0.000
K 0.500 0.000 0.000
Co 0.000 0.000 0.000
As 0.000 0.000 0.500
F 0.500 0.500 0.500
```

Output
* total energy: -16.56 eV/cell
* magnetization: 1.6 μB per formula unit
* volume: 32.1 Å³/atom

***

[5]
Density functional theory data (GGA+U) for KCoAsF6 after structural relaxation. Values from VASP.

Geometry as Quantum ESPRESSO input:
```
&SYSTEM
  ibrav = 0, nat = 9, ntyp = 4
/
ATOMIC_SPECIES
K 39.10 K.upf
Co 58.93 Co.upf
As 74.92 As.upf
F 19.00 F.upf
CELL_PARAMETERS angstrom
5.405 0.000 0.000
0.003 5.615 0.000
0.037 2.760 4.893
ATOMIC_POSITIONS crystal
K 0.000 0.000 0.000
Co 0.486 0.668 0.668
As 0.493 0.333 0.333
F 0.275 0.023 0.392
F 0.275 0.580 0.032
F 0.276 0.388 0.586
F 0.665 0.675 0.349
F 0.666 0.974 0.677
F 0.670 0.357 0.968
```

Output
* total energy: -42.43 eV/cell
* magnetization: 3.0 μB per formula unit
* volume: 16.5 Å³/atom

***

[6]
Density functional theory data (GGA+U) for CoAsN2F after structural relaxation. Values from VASP.

Geometry as Quantum ESPRESSO input:
```
&SYSTEM
  ibrav = 0, nat = 5, ntyp = 4
/
ATOMIC_SPECIES
Co 58.93 Co.upf
As 74.92 As.upf
N 14.01 N.upf
F 19.00 F.upf
CELL_PARAMETERS angstrom
3.790 0.000 0.000
0.000 3.790 0.000
0.000 0.000 3.765
ATOMIC_POSITIONS crystal
Co 0.000 0.000 0.000
As 0.500 0.500 0.500
N 0.000 0.500 0.000
N 0.500 0.000 0.000
F 0.000 0.000 0.500
```

Output
* total energy: -24.56 eV/cell
* magnetization: 2.0 μB per formula unit
* volume: 10.8 Å³/atom
* energy relative to the lowest polymorph listed for this composition: 47 meV per atom